# Mn2BeB2Rh5 (PBE-GGA, optimized geometry)
data_Mn2BeB2Rh5
_space_group_name_H-M_alt 'P 4/m b m'
_space_group_IT_number 127
_space_group_name_Hall '-P 4 2ab'
_cell_length_a 9.1092
_cell_length_b 9.1092
_cell_length_c 2.8807
_cell_angle_alpha 90.00
_cell_angle_beta 90.00
_cell_angle_gamma 90.00
loop_
_atom_site_label
_atom_site_fract_x
_atom_site_fract_y
_atom_site_fract_z
_atom_site_occupancy
Mn1 0.1767 0.3233 0.0000 1
Be1 0.0000 0.0000 0.0000 1
B1 0.1313 0.6313 0.0000 1
Rh1 0.0000 0.5000 0.5000 1
Rh2 0.0682 0.7938 0.5000 1
# Uncorrected energy in eV/atom: -7.63



# RbCa3Tc (PBE-GGA, optimized geometry)
data_RbCa3Tc
_space_group_name_H-M_alt 'P m -3 m'
_space_group_IT_number 221
_space_group_name_Hall '-P 4 2 3'
_cell_length_a 5.4761
_cell_length_b 5.4761
_cell_length_c 5.4761
_cell_angle_alpha 90.00
_cell_angle_beta 90.00
_cell_angle_gamma 90.00
loop_
_atom_site_label
_atom_site_fract_x
_atom_site_fract_y
_atom_site_fract_z
_atom_site_occupancy
Rb1 0.0000 0.0000 0.0000 1
Ca1 0.0000 0.0000 0.5000 1
Tc1 0.5000 0.5000 0.5000 1
# Energy relative to the lowest polymorph listed for this composition in meV per atom: 1484



# Np2NF (PBE-GGA, optimized geometry)
data_Np2NF
_space_group_name_H-M_alt 'P 4/m m m'
_space_group_IT_number 123
_space_group_name_Hall '-P 4 2'
_cell_length_a 3.0414
_cell_length_b 3.0414
_cell_length_c 6.6417
_cell_angle_alpha 90.00
_cell_angle_beta 90.00
_cell_angle_gamma 90.00
loop_
_atom_site_label
_atom_site_fract_x
_atom_site_fract_y
_atom_site_fract_z
_atom_site_occupancy
Np1 0.0000 0.0000 0.2161 1
N1 0.5000 0.5000 0.0000 1
F1 0.5000 0.5000 0.5000 1
# Raw formation energy in kJ/mol of atoms: -88.5



# La8Ga2Rh (PBE-GGA, optimized geometry)
data_La8Ga2Rh
_space_group_name_H-M_alt 'C 1 2/m 1'
_space_group_IT_number 12
_cell_length_a 19.2100
_cell_length_b 5.1619
_cell_length_c 6.9456
_cell_angle_alpha 90.00
_cell_angle_beta 104.32
_cell_angle_gamma 90.00
loop_
_space_group_symop_operation_xyz
'x,y,z'
'-x,-y,-z'
'-x,y,-z'
'x,-y,z'
'x+1/2,y+1/2,z'
'-x+1/2,-y+1/2,-z'
'-x+1/2,y+1/2,-z'
'x+1/2,-y+1/2,z'
loop_
_atom_site_label
_atom_site_fract_x
_atom_site_fract_y
_atom_site_fract_z
_atom_site_occupancy
La1 0.0209 0.0000 0.2919 1
La2 0.0911 0.5000 0.9439 1
La3 0.1556 0.5000 0.4655 1
La4 0.2109 0.0000 0.7949 1
Ga1 0.1833 0.0000 0.2277 1
Rh1 0.0000 0.5000 0.5000 1
# Energy relative to the lowest polymorph listed for this composition in meV per atom: 0



# PrErTh2Sb5 (PBE-GGA, optimized geometry)
data_PrErTh2Sb5
_space_group_name_H-M_alt 'P 4/m m m'
_space_group_IT_number 123
_space_group_name_Hall '-P 4 2'
_cell_length_a 5.2352
_cell_length_b 5.2352
_cell_length_c 11.6558
_cell_angle_alpha 90.00
_cell_angle_beta 90.00
_cell_angle_gamma 90.00
loop_
_atom_site_label
_atom_site_fract_x
_atom_site_fract_y
_atom_site_fract_z
_atom_site_occupancy
Pr1 0.0000 0.0000 0.0000 1
Er1 0.0000 0.0000 0.5000 1
Th1 0.5000 0.5000 0.3023 1
Sb1 0.0000 0.0000 0.2528 1
Sb2 0.0000 0.5000 0.5000 1
Sb3 0.5000 0.5000 0.0000 1
# Raw formation energy in kJ/mol of atoms: -23.0



# CsTaAl (PBE-GGA, optimized geometry)
data_CsTaAl
_space_group_name_H-M_alt 'P -1'
_space_group_IT_number 2
_cell_length_a 3.6824
_cell_length_b 4.2133
_cell_length_c 13.7986
_cell_angle_alpha 96.58
_cell_angle_beta 90.75
_cell_angle_gamma 90.00
loop_
_space_group_symop_operation_xyz
'x,y,z'
'-x,-y,-z'
loop_
_atom_site_label
_atom_site_fract_x
_atom_site_fract_y
_atom_site_fract_z
_atom_site_occupancy
Cs1 0.2343 0.3874 0.1797 1
Ta1 0.2464 0.9728 0.4279 1
Al1 0.2537 0.5278 0.5741 1
# Energy relative to the lowest polymorph listed for this composition in meV per atom: 93